{
  "formula": "Tl2MoCF",
  "functional": "GGA+U",
  "state": "optimized geometry",
  "lattice_angstrom": [[-1.147, 2.216, -5.284], [-4.043, -0.951, 0.479], [-0.948, 5.241, 2.404]],
  "species": ["C", "Tl", "Tl", "Mo", "F"],
  "frac_coords": [[0.500, 0.500, 0.500], [0.000, 0.000, 0.500], [0.500, 0.000, 0.000], [0.000, 0.000, 0.000], [0.000, 0.500, 0.000]],
  "dft_energy_ev_per_cell": -17.53,
  "n_ef_per_ev_fu": 4.4,
  "space_group": "P4/mmm (123)",
  "crystal_system": "tetragonal"
}